Entry 1:
YTiMoPd2: optimized geometry, PBE-GGA.

Geometry as POSCAR:
```
YTiMoPd2
1.0
4.642 0.000 0.000
0.000 4.642 0.000
0.000 0.000 5.054
Y Ti Mo Pd
1 1 1 2
direct
0.000 0.000 0.000 Y
0.000 0.000 0.500 Ti
0.500 0.500 0.000 Mo
0.000 0.500 0.500 Pd
0.500 0.000 0.500 Pd
```

Results
E_tot ... -6.2178 eV per atom
Magnetic moment ... 2.956 μB per formula unit

***

Entry 2:
TiZn2MoPd: optimized geometry, PBE-GGA.

Geometry as POSCAR:
```
TiZn2MoPd
1.0
4.864 0.000 0.000
0.000 4.864 0.000
0.000 0.000 4.446
Ti Zn Mo Pd
1 2 1 1
direct
0.000 0.000 0.000 Ti
0.000 0.500 0.500 Zn
0.500 0.000 0.500 Zn
0.000 0.000 0.500 Mo
0.500 0.500 0.000 Pd
```

Results
E_tot ... -4.4254 eV per atom
Magnetic moment ... 0.000 μB per formula unit